The following is a DFT calculation (PBE) of a relaxed KZnRu2 crystal.

Cell: 2.7814 2.7814 10.2400 Å, 90.00 90.00 117.48°
With the nearest neighbours (Å) after each atom.
Positions (direct):
Ru: 0.0000 0.0000 0.0359  6 Ru 2.57-2.78
Ru: 0.5000 0.5000 0.2437  6 Ru 2.57-2.78, 2 Zn 2.66
Zn: 0.0000 0.0000 0.4619  2 Ru 2.66, 6 Zn 2.78-2.89
K: 0.5000 0.5000 0.7586  6 K 2.78-2.89

Summary:
DOS(E_F) (states/eV per cell): 4.246
SG: No. 35
Formation energy from the elements (eV/atom): 0.731
Calculated volume (Å³ per atom): 17.57